Ba3Fe2AgO9 after structural relaxation. Source: the Alexandria database, functional GGA+U.

## Properties
Total moment: 9.71 μB per formula unit
DOS at the Fermi energy: 0.680 states/eV/atom
E_tot: -87.65 eV for the cell shown

abc: 5.7904 5.7904 7.0934
angles: 90.00 90.00 120.00
Atoms (fractional coordinates):
Ba (0.0000, 0.0000, 0.0000)
Ba (0.3333, 0.6667, 0.6632)
Ba (0.6667, 0.3333, 0.3368)
Fe (0.3333, 0.6667, 0.1586)
Fe (0.6667, 0.3333, 0.8414)
Ag (0.0000, 0.0000, 0.5000)
O (0.0000, 0.5000, 0.0000)
O (0.1722, 0.3443, 0.3243)
O (0.1722, 0.8278, 0.3243)
O (0.3443, 0.1722, 0.6757)
O (0.5000, 0.0000, 0.0000)
O (0.5000, 0.5000, 0.0000)
O (0.6557, 0.8278, 0.3243)
O (0.8278, 0.1722, 0.6757)
O (0.8278, 0.6557, 0.6757)